VASP calculation (GGA-PBE) on KCuW2 after structural relaxation.

Properties
total magnetization: 0.46 μB/cell
calculated formation energy: 1337 meV/atom

Cell lengths 2.6509, 5.0480, 5.6429 Å; angles 90.00, 90.00, 90.00 degrees
Fractional positions:
K 0.0000 0.0000 0.0000
Cu 0.5000 0.5000 0.0000
W 0.0000 0.5000 0.5000
W 0.5000 0.0000 0.5000

---

VASP calculation (GGA-PBE) on OsRh3 after structural relaxation.

Properties
total magnetization: 0.00 μB/cell
calculated formation energy: 36 meV/atom

Cell lengths 2.7073, 3.8575, 5.4322 Å; angles 90.00, 90.00, 90.00 degrees
Fractional positions:
Os 0.0000 0.0000 0.0000
Rh 0.0000 0.0000 0.5000
Rh 0.5000 0.5000 0.2443
Rh 0.5000 0.5000 0.7557

---

VASP calculation (GGA-PBE) on Pa7Mn3 after structural relaxation.

Properties
total magnetization: 0.00 μB/cell
calculated formation energy: -99 meV/atom

Cell lengths 9.1621, 9.1621, 5.7741 Å; angles 90.00, 90.00, 120.00 degrees
Fractional positions:
Pa 0.0870 0.5435 0.0000
Pa 0.1260 0.2519 0.7223
Pa 0.1260 0.8740 0.7223
Pa 0.2519 0.1260 0.2223
Pa 0.3333 0.6667 0.5247
Pa 0.4565 0.5435 0.0000
Pa 0.4565 0.9130 0.0000
Pa 0.5435 0.0870 0.5000
Pa 0.5435 0.4565 0.5000
Pa 0.6667 0.3333 0.0247
Pa 0.7481 0.8740 0.7223
Pa 0.8740 0.1260 0.2223
Pa 0.8740 0.7481 0.2223
Pa 0.9130 0.4565 0.5000
Mn 0.1809 0.3618 0.2569
Mn 0.1809 0.8191 0.2569
Mn 0.3618 0.1809 0.7569
Mn 0.6382 0.8191 0.2569
Mn 0.8191 0.1809 0.7569
Mn 0.8191 0.6382 0.7569

---

VASP calculation (GGA-PBE) on NiHgIr4 after structural relaxation.

Properties
total magnetization: 2.84 μB/cell
calculated formation energy: 667 meV/atom

Cell lengths 5.2076, 5.2076, 5.2076 Å; angles 60.00, 60.00, 60.00 degrees
Fractional positions:
Ni 0.0000 0.0000 0.0000
Hg 0.7500 0.7500 0.7500
Ir 0.3747 0.3747 0.3747
Ir 0.3747 0.3747 0.8760
Ir 0.3747 0.8760 0.3747
Ir 0.8760 0.3747 0.3747

---

VASP calculation (GGA-PBE) on BaInRh after structural relaxation.

Properties
total magnetization: 0.00 μB/cell
calculated formation energy: -337 meV/atom

Cell lengths 4.6168, 4.6168, 4.8859 Å; angles 90.00, 90.00, 120.00 degrees
Fractional positions:
Ba 0.0000 0.0000 0.0000
In 0.6667 0.3333 0.5000
Rh 0.3333 0.6667 0.5000